(1)
Pr5SmEr5 | PBE-GGA | optimized geometry

a = 6.1324 Å, b = 6.1324 Å, c = 11.8789 Å
α = 90.00°, β = 90.00°, γ = 120.00°
Sites, in units of the cell vectors:
1 Pr 0.0000 0.0000 0.0000
2 Pr 0.3333 0.6667 0.3167
3 Pr 0.3333 0.6667 0.6833
4 Pr 0.6667 0.3333 0.1540
5 Pr 0.6667 0.3333 0.8460
6 Sm 0.3333 0.6667 0.0000
7 Er 0.0000 0.0000 0.2663
8 Er 0.0000 0.0000 0.7337
9 Er 0.3324 0.1662 0.5000
10 Er 0.8338 0.1662 0.5000
11 Er 0.8338 0.6676 0.5000

Values from the calculation:
- Crystal system: hexagonal
- E_tot: -4.40 eV per atom

=====

(2)
PrSm15Er4 | PBE-GGA | optimized geometry

a = 5.1041 Å, b = 5.1041 Å, c = 25.4728 Å
α = 90.00°, β = 90.00°, γ = 90.00°
Sites, in units of the cell vectors:
1 Pr 0.0000 0.0000 0.0000
2 Sm 0.0000 0.5000 0.1023
3 Sm 0.0000 0.5000 0.3012
4 Sm 0.0000 0.5000 0.5000
5 Sm 0.0000 0.5000 0.6988
6 Sm 0.0000 0.5000 0.8977
7 Sm 0.5000 0.0000 0.1023
8 Sm 0.5000 0.0000 0.3012
9 Sm 0.5000 0.0000 0.5000
10 Sm 0.5000 0.0000 0.6988
11 Sm 0.5000 0.0000 0.8977
12 Sm 0.5000 0.5000 0.0000
13 Sm 0.5000 0.5000 0.2025
14 Sm 0.5000 0.5000 0.4006
15 Sm 0.5000 0.5000 0.5994
16 Sm 0.5000 0.5000 0.7975
17 Er 0.0000 0.0000 0.2019
18 Er 0.0000 0.0000 0.4006
19 Er 0.0000 0.0000 0.5994
20 Er 0.0000 0.0000 0.7981

Values from the calculation:
- Crystal system: tetragonal
- E_tot: -4.67 eV per atom

=====

(3)
Pr12Sm2Er | PBE-GGA | optimized geometry

a = 6.6468 Å, b = 6.6468 Å, c = 25.7174 Å
α = 90.00°, β = 90.00°, γ = 90.00°
Sites, in units of the cell vectors:
1 Pr 0.0661 0.5661 0.1124
2 Pr 0.0661 0.9339 0.8876
3 Pr 0.0820 0.5820 0.5626
4 Pr 0.0820 0.9180 0.4374
5 Pr 0.2500 0.2500 0.2136
6 Pr 0.2500 0.2500 0.3367
7 Pr 0.2500 0.2500 0.6633
8 Pr 0.2500 0.2500 0.7864
9 Pr 0.4180 0.5820 0.4374
10 Pr 0.4180 0.9180 0.5626
11 Pr 0.4339 0.5661 0.8876
12 Pr 0.4339 0.9339 0.1124
13 Pr 0.5661 0.0661 0.8876
14 Pr 0.5661 0.4339 0.1124
15 Pr 0.5820 0.0820 0.4374
16 Pr 0.5820 0.4180 0.5626
17 Pr 0.7500 0.7500 0.2136
18 Pr 0.7500 0.7500 0.3367
19 Pr 0.7500 0.7500 0.6633
20 Pr 0.7500 0.7500 0.7864
21 Pr 0.9180 0.0820 0.5626
22 Pr 0.9180 0.4180 0.4374
23 Pr 0.9339 0.0661 0.1124
24 Pr 0.9339 0.4339 0.8876
25 Sm 0.2500 0.7500 0.2685
26 Sm 0.2500 0.7500 0.7315
27 Sm 0.7500 0.2500 0.2685
28 Sm 0.7500 0.2500 0.7315
29 Er 0.2500 0.7500 0.0000
30 Er 0.7500 0.2500 0.0000

Values from the calculation:
- Crystal system: tetragonal
- E_tot: -4.44 eV per atom

=====

(4)
Pr8Sm3Er2 | PBE-GGA | optimized geometry

a = 7.7781 Å, b = 5.8450 Å, c = 10.9886 Å
α = 90.00°, β = 110.71°, γ = 90.00°
Sites, in units of the cell vectors:
1 Pr 0.0993 0.0000 0.2854
2 Pr 0.1751 0.5000 0.8498
3 Pr 0.3144 0.0000 0.7147
4 Pr 0.3665 0.5000 0.2332
5 Pr 0.6335 0.5000 0.7668
6 Pr 0.6856 0.0000 0.2853
7 Pr 0.8249 0.5000 0.1502
8 Pr 0.9007 0.0000 0.7146
9 Sm 0.2136 0.5000 0.4999
10 Sm 0.5000 0.0000 0.5000
11 Sm 0.7864 0.5000 0.5001
12 Er 0.2598 0.0000 0.0189
13 Er 0.7402 0.0000 0.9811

Values from the calculation:
- Crystal system: monoclinic
- Distance to the lowest polymorph of the same formula: 48 meV/atom

=====

(5)
Pr8Sm2Er | PBE-GGA | optimized geometry

a = 9.6050 Å, b = 9.6050 Å, c = 9.6050 Å
α = 145.03°, β = 128.41°, γ = 63.85°
Sites, in units of the cell vectors:
1 Pr 0.1605 0.1605 0.0000
2 Pr 0.1596 0.3647 0.7949
3 Pr 0.2916 0.0000 0.2916
4 Pr 0.4303 0.6353 0.7949
5 Pr 0.5697 0.3647 0.2051
6 Pr 0.7084 0.0000 0.7084
7 Pr 0.8404 0.6353 0.2051
8 Pr 0.8395 0.8395 0.0000
9 Sm 0.2986 0.7986 0.5000
10 Sm 0.7014 0.2014 0.5000
11 Er 0.0000 0.5000 0.5000

Values from the calculation:
- Crystal system: orthorhombic
- Distance to the lowest polymorph of the same formula: 0 meV/atom

=====

(6)
PrSm7Er2 | PBE-GGA | optimized geometry

a = 9.1658 Å, b = 9.1658 Å, c = 5.7380 Å
α = 90.00°, β = 90.00°, γ = 121.93°
Sites, in units of the cell vectors:
1 Pr 0.0000 0.0000 0.0000
2 Sm 0.0618 0.2956 0.5000
3 Sm 0.2273 0.7727 0.0000
4 Sm 0.2956 0.0618 0.5000
5 Sm 0.5000 0.5000 0.5000
6 Sm 0.7044 0.9382 0.5000
7 Sm 0.7727 0.2273 0.0000
8 Sm 0.9382 0.7044 0.5000
9 Er 0.2961 0.7039 0.5000
10 Er 0.7039 0.2961 0.5000

Values from the calculation:
- Crystal system: orthorhombic
- Distance to the lowest polymorph of the same formula: 640 meV/atom

=====

(7)
PrSm3Er2 | PBE-GGA | optimized geometry

a = 10.4158 Å, b = 10.4158 Å, c = 10.4158 Å
α = 160.71°, β = 146.79°, γ = 38.69°
Sites, in units of the cell vectors:
1 Pr 0.0000 0.0000 0.0000
2 Sm 0.1925 0.1925 0.0000
3 Sm 0.5000 0.0000 0.5000
4 Sm 0.8075 0.8075 0.0000
5 Er 0.3619 0.3619 0.0000
6 Er 0.6381 0.6381 0.0000

Values from the calculation:
- Crystal system: orthorhombic
- Distance to the lowest polymorph of the same formula: 339 meV/atom

=====

(8)
Pr7Sm3Er2 | PBE-GGA | optimized geometry

a = 6.5473 Å, b = 3.5972 Å, c = 17.8418 Å
α = 90.00°, β = 95.93°, γ = 90.00°
Sites, in units of the cell vectors:
1 Pr 0.0000 0.0000 0.0000
2 Pr 0.2232 0.5000 0.1715
3 Pr 0.2563 0.5000 0.4934
4 Pr 0.2741 0.0000 0.8309
5 Pr 0.7259 0.0000 0.1691
6 Pr 0.7437 0.5000 0.5066
7 Pr 0.7768 0.5000 0.8285
8 Sm 0.4558 0.0000 0.3391
9 Sm 0.5000 0.5000 0.0000
10 Sm 0.5442 0.0000 0.6609
11 Er 0.0579 0.5000 0.6698
12 Er 0.9421 0.5000 0.3302

Values from the calculation:
- Crystal system: monoclinic
- Distance to the lowest polymorph of the same formula: 0 meV/atom